[1]
This record from Alexandria describes a relaxed HoLuNiOs crystal. The functional is PBE.

a b c (Å): 6.7011 6.7011 6.7011
angles (deg): 90.00 90.00 90.00
Space group F-43m (No. 216)
Unique sites:
Ho1 0.0000 0.0000 0.0000
Lu1 0.0000 0.0000 0.5000
Ni1 0.2500 0.2500 0.2500
Os1 0.2500 0.2500 0.7500

DOS(E_F)	0.400	states/eV per atom
magnetization	0.0	Bohr magnetons per cell
theoretical density	13.00	Mg/m³
calculated total energy	-6.899	eV/atom

=====

[2]
This record from Alexandria describes a relaxed HoLuNiPd crystal. The functional is PBE.

a b c (Å): 6.8194 6.8194 6.8194
angles (deg): 90.00 90.00 90.00
Space group F-43m (No. 216)
Unique sites:
Ho1 0.0000 0.0000 0.0000
Lu1 0.0000 0.0000 0.5000
Ni1 0.2500 0.2500 0.7500
Pd1 0.2500 0.2500 0.2500

DOS(E_F)	0.707	states/eV per atom
magnetization	0.0	Bohr magnetons per cell
theoretical density	10.58	Mg/m³
calculated total energy	-5.695	eV/atom

=====

[3]
This record from Alexandria describes a relaxed HoLuNiRh crystal. The functional is PBE.

a b c (Å): 6.7290 6.7290 6.7290
angles (deg): 90.00 90.00 90.00
Space group F-43m (No. 216)
Unique sites:
Ho1 0.0000 0.0000 0.0000
Lu1 0.0000 0.0000 0.5000
Ni1 0.2500 0.2500 0.2500
Rh1 0.2500 0.2500 0.7500

DOS(E_F)	0.389	states/eV per atom
magnetization	0.0	Bohr magnetons per cell
theoretical density	10.93	Mg/m³
calculated total energy	-6.252	eV/atom

=====

[4]
This record from Alexandria describes a relaxed HoLuNiRu crystal. The functional is PBE.

a b c (Å): 6.6917 6.6917 6.6917
angles (deg): 90.00 90.00 90.00
Space group F-43m (No. 216)
Unique sites:
Ho1 0.0000 0.0000 0.0000
Lu1 0.0000 0.0000 0.5000
Ni1 0.2500 0.2500 0.2500
Ru1 0.2500 0.2500 0.7500

DOS(E_F)	0.655	states/eV per atom
magnetization	0.0	Bohr magnetons per cell
theoretical density	11.08	Mg/m³
calculated total energy	-6.505	eV/atom

=====

[5]
This record from Alexandria describes a relaxed HoLuNiSn crystal. The functional is PBE.

a b c (Å): 7.1074 7.1074 7.1074
angles (deg): 90.00 90.00 90.00
Space group F-43m (No. 216)
Unique sites:
Ho1 0.0000 0.0000 0.0000
Lu1 0.0000 0.0000 0.5000
Ni1 0.2500 0.2500 0.7500
Sn1 0.2500 0.2500 0.2500

DOS(E_F)	0.330	states/eV per atom
magnetization	0.0	Bohr magnetons per cell
theoretical density	9.57	Mg/m³
calculated total energy	-5.168	eV/atom

=====

[6]
This record from Alexandria describes a relaxed HoLuZnNi crystal. The functional is PBE.

a b c (Å): 6.8474 6.8474 6.8474
angles (deg): 90.00 90.00 90.00
Space group F-43m (No. 216)
Unique sites:
Ho1 0.0000 0.0000 0.0000
Lu1 0.0000 0.0000 0.5000
Zn1 0.2500 0.2500 0.2500
Ni1 0.2500 0.2500 0.7500

DOS(E_F)	0.664	states/eV per atom
magnetization	0.0	Bohr magnetons per cell
theoretical density	9.60	Mg/m³
calculated total energy	-4.417	eV/atom

=====

[7]
This record from Alexandria describes a relaxed Ho2LuO crystal. The functional is PBE.

a b c (Å): 3.1688 3.1688 8.5388
angles (deg): 90.00 90.00 90.00
Space group P4/mmm (No. 123)
Unique sites:
Ho1 0.0000 0.0000 0.1786
Lu1 0.5000 0.5000 0.5000
O1 0.5000 0.5000 0.0000

DOS(E_F)	1.298	states/eV per atom
magnetization	0.0	Bohr magnetons per cell
theoretical density	10.09	Mg/m³
raw formation energy	-0.838	eV per atom
calculated total energy	-5.497	eV/atom

=====

[8]
This record from Alexandria describes a relaxed HoLuO3 crystal. The functional is PBE.

a b c (Å): 5.8510 8.2700 5.5800
angles (deg): 90.00 90.00 90.00
Space group Pnma (No. 62)
Unique sites:
Ho1 0.0546 0.2500 0.0200
Lu1 0.0000 0.0000 0.5000
O1 0.0752 0.7500 0.3536
O2 0.1897 0.5778 0.8138

DOS(E_F)	0.000	states/eV per atom
magnetization	0.0	Bohr magnetons per cell
theoretical density	9.54	Mg/m³
raw formation energy	-3.579	eV per atom
calculated total energy	-8.374	eV/atom

=====

[9]
This record from Alexandria describes a relaxed Ho3LuO crystal. The functional is PBE.

a b c (Å): 4.8877 4.8877 4.8877
angles (deg): 90.00 90.00 90.00
Space group Pm-3m (No. 221)
Unique sites:
Ho1 0.0000 0.0000 0.5000
Lu1 0.5000 0.5000 0.5000
O1 0.0000 0.0000 0.0000

DOS(E_F)	1.006	states/eV per atom
magnetization	0.0	Bohr magnetons per cell
theoretical density	9.75	Mg/m³
raw formation energy	-1.109	eV per atom
calculated total energy	-5.752	eV/atom

=====

[10]
This record from Alexandria describes a relaxed HoLu2O crystal. The functional is PBE.

a b c (Å): 3.1471 3.1471 8.4597
angles (deg): 90.00 90.00 90.00
Space group P4/mmm (No. 123)
Unique sites:
Ho1 0.0000 0.0000 0.0000
Lu1 0.5000 0.5000 0.3186
O1 0.0000 0.0000 0.5000

DOS(E_F)	1.173	states/eV per atom
magnetization	0.0	Bohr magnetons per cell
theoretical density	10.52	Mg/m³
raw formation energy	-0.817	eV per atom
calculated total energy	-5.462	eV/atom

=====

[11]
This record from Alexandria describes a relaxed HoLu3O crystal. The functional is PBE.

a b c (Å): 4.8311 4.8311 4.8311
angles (deg): 90.00 90.00 90.00
Space group Pm-3m (No. 221)
Unique sites:
Ho1 0.0000 0.0000 0.0000
Lu1 0.0000 0.5000 0.5000
O1 0.5000 0.5000 0.5000

DOS(E_F)	1.025	states/eV per atom
magnetization	0.0	Bohr magnetons per cell
theoretical density	10.39	Mg/m³
raw formation energy	-1.074	eV per atom
calculated total energy	-5.694	eV/atom

=====

[12]
This record from Alexandria describes a relaxed HoLuOsRu crystal. The functional is PBE.

a b c (Å): 6.7242 6.7242 6.7242
angles (deg): 90.00 90.00 90.00
Space group F-43m (No. 216)
Unique sites:
Ho1 0.0000 0.0000 0.0000
Lu1 0.0000 0.0000 0.5000
Os1 0.2500 0.2500 0.7500
Ru1 0.2500 0.2500 0.2500

DOS(E_F)	1.266	states/eV per atom
magnetization	0.0	Bohr magnetons per cell
theoretical density	13.79	Mg/m³
calculated total energy	-7.665	eV/atom